a.
First-principles (GGA-PBE) data for LaHfGe after structural relaxation, as listed in the Open Quantum Materials Database.

a b c (Å): 7.028 7.028 7.028
angles (deg): 90.00 90.00 90.00
Space group F-43m (No. 216)
Inequivalent atoms, fractional coordinates:
La  0.000  0.000  0.000 x4
Hf  0.250  0.250  0.250 x4
Ge  0.250  0.250  0.750 x4

=====

b.
First-principles (GGA-PBE) data for LaHfGe after structural relaxation, as listed in the Open Quantum Materials Database.

a b c (Å): 6.723 6.723 6.723
angles (deg): 90.00 90.00 90.00
Space group F-43m (No. 216)
Inequivalent atoms, fractional coordinates:
La  0.000  0.000  0.000 x4
Hf  0.250  0.250  0.750 x4
Ge  0.000  0.000  0.500 x4

=====

List of relative energies, unit eV/atom: a 0.431; b 0.000

=====

a.
First-principles (GGA-PBE) data for Hf2NbGe2 after structural relaxation, as listed in the Open Quantum Materials Database.

a b c (Å): 3.706 3.706 14.118
angles (deg): 90.00 90.00 90.00
Space group I4/mmm (No. 139)
Inequivalent atoms, fractional coordinates:
Hf  0.000  0.000  0.102 x4
Nb  0.000  0.000  0.500 x2
Ge  0.000  0.500  0.250 x4

=====

b.
First-principles (GGA-PBE) data for Hf2NbGe2 after structural relaxation, as listed in the Open Quantum Materials Database.

a b c (Å): 6.952 6.952 3.754
angles (deg): 90.00 90.00 90.00
Space group P4/mbm (No. 127)
Inequivalent atoms, fractional coordinates:
Hf  0.173  0.327  0.000 x4
Nb  0.000  0.000  0.500 x2
Ge  0.130  0.630  0.500 x4

=====

List of relative energies, unit eV/atom: a 0.809; b 0.000

=====

a.
First-principles (GGA-PBE) data for HfNb2Ge2 after structural relaxation, as listed in the Open Quantum Materials Database.

a b c (Å): 4.803 4.803 8.322
angles (deg): 90.00 90.00 90.00
Space group I4/mmm (No. 139)
Inequivalent atoms, fractional coordinates:
Hf  0.000  0.000  0.000 x2
Nb  0.000  0.000  0.346 x4
Ge  0.000  0.500  0.250 x4

=====

b.
First-principles (GGA-PBE) data for HfNb2Ge2 after structural relaxation, as listed in the Open Quantum Materials Database.

a b c (Å): 3.952 3.952 11.819
angles (deg): 90.00 90.00 90.00
Space group I4/mmm (No. 139)
Inequivalent atoms, fractional coordinates:
Hf  0.000  0.000  0.000 x2
Nb  0.000  0.500  0.250 x4
Ge  0.000  0.000  0.400 x4

=====

List of relative energies, unit eV/atom: a 0.376; b 0.000

=====

a.
First-principles (GGA-PBE) data for HfNiGePd after structural relaxation, as listed in the Open Quantum Materials Database.

a b c (Å): 6.314 6.314 6.314
angles (deg): 90.00 90.00 90.00
Space group F-43m (No. 216)
Inequivalent atoms, fractional coordinates:
Hf  0.000  0.000  0.000 x4
Ni  0.000  0.000  0.500 x4
Ge  0.250  0.250  0.250 x4
Pd  0.250  0.250  0.750 x4

=====

b.
First-principles (GGA-PBE) data for HfNiGePd after structural relaxation, as listed in the Open Quantum Materials Database.

a b c (Å): 6.278 6.278 6.278
angles (deg): 90.00 90.00 90.00
Space group F-43m (No. 216)
Inequivalent atoms, fractional coordinates:
Hf  0.000  0.000  0.000 x4
Ni  0.250  0.250  0.750 x4
Ge  0.000  0.000  0.500 x4
Pd  0.250  0.250  0.250 x4

=====

List of relative energies, unit eV/atom: a 0.118; b 0.000

=====

a.
First-principles (GGA-PBE) data for Hf2Ge2O5 after structural relaxation, as listed in the Open Quantum Materials Database.

a b c (Å): 4.042 4.042 6.084
angles (deg): 90.00 90.00 90.00
Space group P4/mmm (No. 123)
Inequivalent atoms, fractional coordinates:
Hf  0.000  0.000  0.000 x1
Hf  0.000  0.000  0.500 x1
Ge  0.500  0.500  0.200 x2
O  0.000  0.500  0.239 x4
O  0.500  0.500  0.500 x1

=====

b.
First-principles (GGA-PBE) data for Hf2Ge2O5 after structural relaxation, as listed in the Open Quantum Materials Database.

a b c (Å): 4.063 4.063 7.814
angles (deg): 90.00 90.00 90.00
Space group P4/mmm (No. 123)
Inequivalent atoms, fractional coordinates:
Hf  0.000  0.000  0.245 x2
Ge  0.500  0.500  0.000 x1
Ge  0.500  0.500  0.500 x1
O  0.000  0.000  0.500 x1
O  0.000  0.500  0.250 x4

=====

List of relative energies, unit eV/atom: a 0.753; b 0.000

=====

a.
First-principles (GGA-PBE) data for PmHfGe after structural relaxation, as listed in the Open Quantum Materials Database.

a b c (Å): 6.720 6.720 6.720
angles (deg): 90.00 90.00 90.00
Space group F-43m (No. 216)
Inequivalent atoms, fractional coordinates:
Pm  0.000  0.000  0.000 x4
Hf  0.000  0.000  0.500 x4
Ge  0.250  0.250  0.750 x4

=====

b.
First-principles (GGA-PBE) data for PmHfGe after structural relaxation, as listed in the Open Quantum Materials Database.

a b c (Å): 6.969 6.969 6.969
angles (deg): 90.00 90.00 90.00
Space group F-43m (No. 216)
Inequivalent atoms, fractional coordinates:
Pm  0.000  0.000  0.000 x4
Hf  0.250  0.250  0.250 x4
Ge  0.250  0.250  0.750 x4

=====

List of relative energies, unit eV/atom: a 0.000; b 1.014